This record from Alexandria via LeMat-Bulk describes a geometry-optimized VCdP2S structure. The functional is PBE-GGA.

Computed properties:
DOS(E_F) in states/eV/atom: 0.513
Energy relative to the elements, uncorrected in eV/f.u.: 0.79
M_tot in μB per cell: 0.00

Cell lengths 4.649, 4.649, 4.469 Å; angles 90.00, 90.00, 90.00 degrees
Space group P4/mmm (No. 123)
Inequivalent atoms, fractional coordinates:
1 V 0.000 0.000 0.000 [1 per cell]
2 Cd 0.500 0.500 0.500 [1 per cell]
3 P 0.000 0.500 0.000 [2 per cell]
4 S 0.000 0.000 0.500 [1 per cell]



This record from Alexandria via LeMat-Bulk describes a geometry-optimized ZrGaIr3 structure. The functional is PBE-GGA.

Computed properties:
DOS(E_F) in states/eV/atom: 0.065
Energy of formation from the pure elements in eV/atom: 0.4302
M_tot in μB per cell: 0.00
Offset from the most stable computed form in eV/atom: 0.0000

Cell lengths 4.520, 4.520, 4.520 Å; angles 90.00, 90.00, 90.00 degrees
Space group Pm-3m (No. 221)
Inequivalent atoms, fractional coordinates:
1 Zr 0.000 0.000 0.000 [1 per cell]
2 Ga 0.500 0.500 0.500 [1 per cell]
3 Ir 0.000 0.500 0.500 [3 per cell]



This record from Alexandria via LeMat-Bulk describes a geometry-optimized Na2MnBr structure. The functional is PBE-GGA.

Computed properties:
DOS(E_F) in states/eV/atom: 0.696
Energy relative to the elements, uncorrected in eV/f.u.: 0.49
M_tot in μB per cell: 17.25
Offset from the most stable computed form in eV/atom: 0.0732

Cell lengths 7.697, 7.697, 7.697 Å; angles 90.00, 90.00, 90.00 degrees
Space group Fm-3m (No. 225)
Inequivalent atoms, fractional coordinates:
1 Na 0.250 0.250 0.250 [8 per cell]
2 Mn 0.000 0.000 0.000 [4 per cell]
3 Br 0.000 0.000 0.500 [4 per cell]